a.
## Er5Sb2 (PBE-GGA)

Data for a geometry-optimized Er5Sb2 structure.

The structure in POSCAR format:
```
Er5Sb2
1.0
4.4706 0.0000 -0.4477
0.0000 4.4720 0.0000
-0.2950 0.0000 19.5979
Er Sb
10 4
direct
0.9652 0.2500 0.9304
0.0348 0.7500 0.0696
0.5361 0.2500 0.0722
0.4639 0.7500 0.9278
0.7501 0.2500 0.5002
0.2499 0.7500 0.4998
0.1759 0.2500 0.3517
0.8241 0.7500 0.6483
0.3893 0.2500 0.7786
0.6107 0.7500 0.2214
0.0962 0.2500 0.1924
0.9038 0.7500 0.8076
0.3104 0.2500 0.6207
0.6896 0.7500 0.3793
```

As for the space group: Cmcm. For the density, the calculation gives 9.17 g/cm3. The value obtained for the total magnetic moment is 0.000 μB per atom.



b.
## Er5Sb2 (PBE-GGA)

Data for a geometry-optimized Er5Sb2 structure.

The structure in POSCAR format:
```
Er5Sb2
1.0
6.2973 0.0000 0.0000
0.0000 8.0733 0.1665
-3.1487 -1.0637 7.9248
Er Sb
10 4
direct
0.2254 0.4336 0.1947
0.0307 0.0664 0.8053
0.1722 0.6857 0.5462
0.6259 0.8143 0.4538
0.8278 0.3143 0.4538
0.3741 0.1857 0.5462
0.9693 0.9336 0.1947
0.7746 0.5664 0.8053
0.6603 0.2500 0.0000
0.3397 0.7500 0.0000
0.2305 0.4152 0.7963
0.4342 0.0848 0.2037
0.7695 0.5848 0.2037
0.5658 0.9152 0.7963
```

As for the space group: C2/c. For the density, the calculation gives 8.88 g/cm3. The value obtained for the total magnetic moment is 0.000 μB per atom.



Ranked by calculated energy, most stable first: a, b.



a.
## Er4Sb3 (PBE-GGA)

Data for a geometry-optimized Er4Sb3 structure.

The structure in POSCAR format:
```
Er4Sb3
1.0
-1.5337 3.4122 -2.1847
-0.9130 -0.3618 -4.2194
-13.0169 -2.5795 0.8137
Er Sb
4 3
direct
0.3772 0.3772 0.8683
0.1323 0.1323 0.6030
0.8677 0.8677 0.3970
0.6228 0.6228 0.1317
0.7567 0.7567 0.7298
0.2433 0.2433 0.2702
0.0000 0.0000 0.0000
```

As for the space group: R-3m. For the density, the calculation gives 8.09 g/cm3. The value obtained for the total magnetic moment is 0.000 μB per atom.



b.
## Er4Sb3 (PBE-GGA)

Data for a geometry-optimized Er4Sb3 structure.

The structure in POSCAR format:
```
Er4Sb3
1.0
-0.2897 1.9374 -7.6459
-2.0382 -7.5749 0.8738
-5.0051 4.5564 4.0601
Er Sb
8 6
direct
0.0000 0.1461 0.0000
0.5000 0.0000 0.6461
0.3539 0.3539 0.8539
0.1461 0.5000 0.5000
0.0000 0.6461 0.0000
0.5000 0.0000 0.1461
0.6461 0.5000 0.5000
0.8539 0.8539 0.3539
0.3750 0.6250 0.2500
0.1250 0.8750 0.7500
0.8750 0.2500 0.6250
0.6250 0.7500 0.8750
0.7500 0.3750 0.1250
0.2500 0.1250 0.3750
```

As for the space group: I-43d. For the density, the calculation gives 9.08 g/cm3. The value obtained for the total magnetic moment is 0.000 μB per atom.



Ranked by calculated energy, most stable first: b, a.



a.
## ErSc2Sb (PBE-GGA)

Data for a geometry-optimized ErSc2Sb structure.

The structure in POSCAR format:
```
ErSc2Sb
1.0
-4.6829 2.7345 -2.9140
1.4845 -2.8831 -2.3443
-5.6198 -5.8064 3.5825
Er Sc Sb
2 4 2
direct
0.3964 0.9482 0.7500
0.6036 0.0518 0.2500
0.2287 0.3643 0.4533
0.7713 0.6357 0.5467
0.2287 0.3643 0.0467
0.7713 0.6357 0.9533
0.0226 0.7613 0.2500
0.9774 0.2387 0.7500
```

As for the space group: Cmcm. For the density, the calculation gives 6.11 g/cm3. The value obtained for the total magnetic moment is 0.003 μB per atom.



b.
## ErSc2Sb (PBE-GGA)

Data for a geometry-optimized ErSc2Sb structure.

The structure in POSCAR format:
```
ErSc2Sb
1.0
4.3515 0.0000 0.0000
0.0000 4.2776 -0.8482
0.0000 -0.0678 10.8648
Er Sc Sb
2 4 2
direct
0.2500 0.3077 0.6154
0.7500 0.6923 0.3846
0.7500 0.4426 0.8850
0.2500 0.5574 0.1150
0.2500 0.9415 0.8830
0.7500 0.0585 0.1170
0.7500 0.8386 0.6771
0.2500 0.1614 0.3229
```

As for the space group: Cmcm. For the density, the calculation gives 6.23 g/cm3. The value obtained for the total magnetic moment is 0.000 μB per atom.



Ranked by calculated energy, most stable first: b, a.



a.
## ErSc2Sb (PBE-GGA)

Data for a geometry-optimized ErSc2Sb structure.

The structure in POSCAR format:
```
ErSc2Sb
1.0
3.8302 0.0000 0.0000
1.9151 3.3170 0.0000
1.9151 1.1057 8.8540
Er Sc Sb
1 2 1
direct
0.5012 0.5012 0.4964
0.0680 0.0680 0.7961
0.2650 0.2650 0.2049
0.6658 0.6658 0.0026
```

As for the space group: R3m. For the density, the calculation gives 5.59 g/cm3. The value obtained for the total magnetic moment is 0.117 μB per atom.



b.
## ErSc2Sb (PBE-GGA)

Data for a geometry-optimized ErSc2Sb structure.

The structure in POSCAR format:
```
ErSc2Sb
1.0
3.8127 0.0000 0.0000
0.0000 3.8127 0.0000
0.0000 0.0000 6.8376
Sc Sb Er
2 1 1
direct
0.0000 0.0000 0.7779
0.0000 0.0000 0.2221
0.5000 0.5000 0.0000
0.5000 0.5000 0.5000
```

As for the space group: P4/mmm. For the density, the calculation gives 6.33 g/cm3. The value obtained for the total magnetic moment is 0.004 μB per atom.



Ranked by calculated energy, most stable first: b, a.



a.
## ErSc2Sb (PBE-GGA)

Data for a geometry-optimized ErSc2Sb structure.

The structure in POSCAR format:
```
ErSc2Sb
1.0
3.5119 0.0000 0.0000
1.7559 3.0414 0.0000
1.7559 1.0138 10.5354
Sc Sb Er
2 1 1
direct
0.1004 0.1004 0.6988
0.8996 0.8996 0.3012
0.5000 0.5000 0.5000
0.0000 0.0000 0.0000
```

As for the space group: R-3m. For the density, the calculation gives 5.59 g/cm3. The value obtained for the total magnetic moment is 0.001 μB per atom.



b.
## ErSc2Sb (PBE-GGA)

Data for a geometry-optimized ErSc2Sb structure.

The structure in POSCAR format:
```
ErSc2Sb
1.0
-2.2997 -1.0091 3.8218
-3.2377 -2.0815 -2.4978
2.2907 -3.9619 0.3323
Sc Sb Er
2 1 1
direct
0.0000 0.0000 0.5000
0.0000 0.5000 0.0000
0.5000 0.5000 0.5000
0.5000 0.0000 0.0000
```

As for the space group: P4/mmm. For the density, the calculation gives 6.54 g/cm3. The value obtained for the total magnetic moment is 0.352 μB per atom.



Ranked by calculated energy, most stable first: b, a.



a.
## Er2ScSb (PBE-GGA)

Data for a geometry-optimized Er2ScSb structure.

The structure in POSCAR format:
```
Er2ScSb
1.0
3.5296 0.0000 0.0000
1.7648 3.0567 0.0000
1.7648 1.0189 10.2789
Sc Sb Er
1 1 2
direct
0.5000 0.5000 0.5000
0.0000 0.0000 0.0000
0.2530 0.2530 0.2409
0.7470 0.7470 0.7591
```

As for the space group: R-3m. For the density, the calculation gives 7.51 g/cm3. The value obtained for the total magnetic moment is 0.000 μB per atom.



b.
## Er2ScSb (PBE-GGA)

Data for a geometry-optimized Er2ScSb structure.

The structure in POSCAR format:
```
Er2ScSb
1.0
4.6814 0.0000 0.0000
0.0000 4.6468 0.0000
0.0000 0.0000 4.6468
Sc Sb Er
1 1 2
direct
0.5000 0.5000 0.5000
0.5000 0.0000 0.0000
0.0000 0.0000 0.5000
0.0000 0.5000 0.0000
```

As for the space group: P4/mmm. For the density, the calculation gives 8.23 g/cm3. The value obtained for the total magnetic moment is 0.000 μB per atom.



Ranked by calculated energy, most stable first: b, a.